## 1
Computed, not measured: a geometry-optimized SrICl3 structure at the PBE level of DFT.

Cell and atoms, written as CIF:
```
data_SrICl3
_cell_length_a 5.753
_cell_length_b 5.753
_cell_length_c 5.753
_cell_angle_alpha 90.00
_cell_angle_beta 90.00
_cell_angle_gamma 90.00
_symmetry_space_group_name_H-M 'P 1'
_symmetry_Int_Tables_number 1
loop_
_symmetry_equiv_pos_as_xyz
'x,y,z'
loop_
_atom_site_label
_atom_site_fract_x
_atom_site_fract_y
_atom_site_fract_z
Sr1 0.000 0.000 0.000
I1 0.500 0.500 0.500
Cl1 0.000 0.500 0.500
Cl2 0.500 0.000 0.500
Cl3 0.500 0.500 0.000
```

Calculated values
Magnetization in μB per formula unit: 0.000
DOS at the Fermi energy in states/eV/atom: 0.353

---

## 2
Computed, not measured: a geometry-optimized SrICl3 structure at the PBE level of DFT.

Cell and atoms, written as CIF:
```
data_SrICl3
_cell_length_a 5.692
_cell_length_b 5.692
_cell_length_c 5.692
_cell_angle_alpha 90.00
_cell_angle_beta 90.00
_cell_angle_gamma 90.00
_symmetry_space_group_name_H-M 'P 1'
_symmetry_Int_Tables_number 1
loop_
_symmetry_equiv_pos_as_xyz
'x,y,z'
loop_
_atom_site_label
_atom_site_fract_x
_atom_site_fract_y
_atom_site_fract_z
Sr1 0.000 0.000 0.000
I1 0.500 0.500 0.500
Cl1 0.000 0.000 0.500
Cl2 0.000 0.500 0.000
Cl3 0.500 0.000 0.000
```

Calculated values
Magnetization in μB per formula unit: 2.000
DOS at the Fermi energy in states/eV/atom: 0.737

---

Which of them is the most stable? Correct choice: 2.

---

## 1
Computed, not measured: a geometry-optimized SrTlI2Cl structure at the PBE level of DFT.

Cell and atoms, written as CIF:
```
data_SrTlI2Cl
_cell_length_a 9.399
_cell_length_b 4.721
_cell_length_c 10.155
_cell_angle_alpha 90.00
_cell_angle_beta 103.97
_cell_angle_gamma 90.00
_symmetry_space_group_name_H-M 'P 1'
_symmetry_Int_Tables_number 1
loop_
_symmetry_equiv_pos_as_xyz
'x,y,z'
loop_
_atom_site_label
_atom_site_fract_x
_atom_site_fract_y
_atom_site_fract_z
Sr1 0.189 0.250 0.180
Sr2 0.811 0.750 0.820
Tl1 0.290 0.250 0.672
Tl2 0.710 0.750 0.328
I1 0.131 0.750 0.387
I2 0.182 0.750 0.944
I3 0.818 0.250 0.056
I4 0.869 0.250 0.613
Cl1 0.491 0.250 0.279
Cl2 0.509 0.750 0.721
```

Calculated values
Magnetization in μB per formula unit: 0.000
DOS at the Fermi energy in states/eV/atom: 0.000

---

## 2
Computed, not measured: a geometry-optimized SrTlI2Cl structure at the PBE level of DFT.

Cell and atoms, written as CIF:
```
data_SrTlI2Cl
_cell_length_a 6.469
_cell_length_b 6.469
_cell_length_c 5.553
_cell_angle_alpha 90.00
_cell_angle_beta 90.00
_cell_angle_gamma 90.00
_symmetry_space_group_name_H-M 'P 1'
_symmetry_Int_Tables_number 1
loop_
_symmetry_equiv_pos_as_xyz
'x,y,z'
loop_
_atom_site_label
_atom_site_fract_x
_atom_site_fract_y
_atom_site_fract_z
Sr1 0.000 0.000 0.000
Tl1 0.500 0.500 0.500
I1 0.000 0.500 0.000
I2 0.500 0.000 0.000
Cl1 0.000 0.000 0.500
```

Calculated values
Magnetization in μB per formula unit: 0.000
DOS at the Fermi energy in states/eV/atom: 0.000

---

Which of them is the most stable? Correct choice: 1.

---

## 1
Computed, not measured: a geometry-optimized TaI3Cl structure at the PBE level of DFT.

Cell and atoms, written as CIF:
```
data_TaI3Cl
_cell_length_a 5.606
_cell_length_b 5.606
_cell_length_c 5.606
_cell_angle_alpha 90.00
_cell_angle_beta 90.00
_cell_angle_gamma 90.00
_symmetry_space_group_name_H-M 'P 1'
_symmetry_Int_Tables_number 1
loop_
_symmetry_equiv_pos_as_xyz
'x,y,z'
loop_
_atom_site_label
_atom_site_fract_x
_atom_site_fract_y
_atom_site_fract_z
Ta1 0.000 0.000 0.000
I1 0.000 0.500 0.500
I2 0.500 0.000 0.500
I3 0.500 0.500 0.000
Cl1 0.500 0.500 0.500
```

Calculated values
Magnetization in μB per formula unit: 0.436
DOS at the Fermi energy in states/eV/atom: 2.073

---

## 2
Computed, not measured: a geometry-optimized TaI3Cl structure at the PBE level of DFT.

Cell and atoms, written as CIF:
```
data_TaI3Cl
_cell_length_a 8.514
_cell_length_b 8.514
_cell_length_c 8.514
_cell_angle_alpha 128.48
_cell_angle_beta 86.70
_cell_angle_gamma 115.80
_symmetry_space_group_name_H-M 'P 1'
_symmetry_Int_Tables_number 1
loop_
_symmetry_equiv_pos_as_xyz
'x,y,z'
loop_
_atom_site_label
_atom_site_fract_x
_atom_site_fract_y
_atom_site_fract_z
Ta1 0.500 0.000 0.000
Ta2 0.500 0.500 0.500
I1 0.260 0.010 0.250
I2 0.283 0.000 0.783
I3 0.283 0.500 0.283
I4 0.717 0.000 0.217
I5 0.717 0.500 0.717
I6 0.740 0.990 0.750
Cl1 0.314 0.564 0.750
Cl2 0.686 0.436 0.250
```

Calculated values
Magnetization in μB per formula unit: 0.262
DOS at the Fermi energy in states/eV/atom: 0.432

---

## 3
Computed, not measured: a geometry-optimized TaI3Cl structure at the PBE level of DFT.

Cell and atoms, written as CIF:
```
data_TaI3Cl
_cell_length_a 5.476
_cell_length_b 5.476
_cell_length_c 5.476
_cell_angle_alpha 90.00
_cell_angle_beta 90.00
_cell_angle_gamma 90.00
_symmetry_space_group_name_H-M 'P 1'
_symmetry_Int_Tables_number 1
loop_
_symmetry_equiv_pos_as_xyz
'x,y,z'
loop_
_atom_site_label
_atom_site_fract_x
_atom_site_fract_y
_atom_site_fract_z
Ta1 0.000 0.000 0.000
I1 0.000 0.000 0.500
I2 0.000 0.500 0.000
I3 0.500 0.000 0.000
Cl1 0.500 0.500 0.500
```

Calculated values
Magnetization in μB per formula unit: 0.000
DOS at the Fermi energy in states/eV/atom: 0.412

---

Which of them is the most stable? Correct choice: 2.

---

## 1
Computed, not measured: a geometry-optimized TcICl3 structure at the PBE level of DFT.

Cell and atoms, written as CIF:
```
data_TcICl3
_cell_length_a 6.766
_cell_length_b 7.799
_cell_length_c 5.867
_cell_angle_alpha 90.00
_cell_angle_beta 90.00
_cell_angle_gamma 90.00
_symmetry_space_group_name_H-M 'P 1'
_symmetry_Int_Tables_number 1
loop_
_symmetry_equiv_pos_as_xyz
'x,y,z'
loop_
_atom_site_label
_atom_site_fract_x
_atom_site_fract_y
_atom_site_fract_z
Tc1 0.000 0.004 0.000
Tc2 0.500 0.996 0.500
I1 0.000 0.304 0.205
I2 0.500 0.696 0.705
Cl1 0.000 0.747 0.804
Cl2 0.247 0.877 0.247
Cl3 0.253 0.123 0.747
Cl4 0.500 0.253 0.304
Cl5 0.747 0.123 0.747
Cl6 0.753 0.877 0.247
```

Calculated values
Magnetization in μB per formula unit: 2.613
DOS at the Fermi energy in states/eV/atom: 0.294

---

## 2
Computed, not measured: a geometry-optimized TcICl3 structure at the PBE level of DFT.

Cell and atoms, written as CIF:
```
data_TcICl3
_cell_length_a 5.586
_cell_length_b 5.586
_cell_length_c 5.586
_cell_angle_alpha 90.00
_cell_angle_beta 90.00
_cell_angle_gamma 90.00
_symmetry_space_group_name_H-M 'P 1'
_symmetry_Int_Tables_number 1
loop_
_symmetry_equiv_pos_as_xyz
'x,y,z'
loop_
_atom_site_label
_atom_site_fract_x
_atom_site_fract_y
_atom_site_fract_z
Tc1 0.000 0.000 0.000
I1 0.500 0.500 0.500
Cl1 0.000 0.500 0.500
Cl2 0.500 0.000 0.500
Cl3 0.500 0.500 0.000
```

Calculated values
Magnetization in μB per formula unit: 5.888
DOS at the Fermi energy in states/eV/atom: 0.389

---

## 3
Computed, not measured: a geometry-optimized TcICl3 structure at the PBE level of DFT.

Cell and atoms, written as CIF:
```
data_TcICl3
_cell_length_a 4.968
_cell_length_b 4.968
_cell_length_c 4.968
_cell_angle_alpha 90.00
_cell_angle_beta 90.00
_cell_angle_gamma 90.00
_symmetry_space_group_name_H-M 'P 1'
_symmetry_Int_Tables_number 1
loop_
_symmetry_equiv_pos_as_xyz
'x,y,z'
loop_
_atom_site_label
_atom_site_fract_x
_atom_site_fract_y
_atom_site_fract_z
Tc1 0.000 0.000 0.000
I1 0.500 0.500 0.500
Cl1 0.000 0.000 0.500
Cl2 0.000 0.500 0.000
Cl3 0.500 0.000 0.000
```

Calculated values
Magnetization in μB per formula unit: 2.281
DOS at the Fermi energy in states/eV/atom: 1.247

---

Which of them is the most stable? Correct choice: 1.

---

## 1
Computed, not measured: a geometry-optimized Tc3ICl structure at the PBE level of DFT.

Cell and atoms, written as CIF:
```
data_Tc3ICl
_cell_length_a 4.477
_cell_length_b 4.477
_cell_length_c 4.477
_cell_angle_alpha 90.00
_cell_angle_beta 90.00
_cell_angle_gamma 90.00
_symmetry_space_group_name_H-M 'P 1'
_symmetry_Int_Tables_number 1
loop_
_symmetry_equiv_pos_as_xyz
'x,y,z'
loop_
_atom_site_label
_atom_site_fract_x
_atom_site_fract_y
_atom_site_fract_z
Tc1 0.000 0.000 0.500
Tc2 0.000 0.500 0.000
Tc3 0.500 0.000 0.000
I1 0.500 0.500 0.500
Cl1 0.000 0.000 0.000
```

Calculated values
Magnetization in μB per formula unit: 0.000
DOS at the Fermi energy in states/eV/atom: 1.213

---

## 2
Computed, not measured: a geometry-optimized Tc3ICl structure at the PBE level of DFT.

Cell and atoms, written as CIF:
```
data_Tc3ICl
_cell_length_a 4.985
_cell_length_b 4.985
_cell_length_c 4.985
_cell_angle_alpha 90.00
_cell_angle_beta 90.00
_cell_angle_gamma 90.00
_symmetry_space_group_name_H-M 'P 1'
_symmetry_Int_Tables_number 1
loop_
_symmetry_equiv_pos_as_xyz
'x,y,z'
loop_
_atom_site_label
_atom_site_fract_x
_atom_site_fract_y
_atom_site_fract_z
Tc1 0.000 0.000 0.500
Tc2 0.000 0.500 0.000
Tc3 0.500 0.000 0.000
I1 0.000 0.000 0.000
Cl1 0.500 0.500 0.500
```

Calculated values
Magnetization in μB per formula unit: 6.123
DOS at the Fermi energy in states/eV/atom: 1.244

---

Which of them is the most stable? Correct choice: 1.

---

## 1
Computed, not measured: a geometry-optimized TcI3Cl structure at the PBE level of DFT.

Cell and atoms, written as CIF:
```
data_TcI3Cl
_cell_length_a 6.960
_cell_length_b 6.960
_cell_length_c 7.790
_cell_angle_alpha 90.00
_cell_angle_beta 90.00
_cell_angle_gamma 79.79
_symmetry_space_group_name_H-M 'P 1'
_symmetry_Int_Tables_number 1
loop_
_symmetry_equiv_pos_as_xyz
'x,y,z'
loop_
_atom_site_label
_atom_site_fract_x
_atom_site_fract_y
_atom_site_fract_z
Tc1 0.004 0.996 0.750
Tc2 0.996 0.004 0.250
I1 0.184 0.184 0.000
I2 0.184 0.184 0.500
I3 0.304 0.696 0.750
I4 0.696 0.304 0.250
I5 0.816 0.816 0.000
I6 0.816 0.816 0.500
Cl1 0.258 0.742 0.250
Cl2 0.742 0.258 0.750
```

Calculated values
Magnetization in μB per formula unit: 2.713
DOS at the Fermi energy in states/eV/atom: 0.419

---

## 2
Computed, not measured: a geometry-optimized TcI3Cl structure at the PBE level of DFT.

Cell and atoms, written as CIF:
```
data_TcI3Cl
_cell_length_a 9.662
_cell_length_b 9.662
_cell_length_c 8.387
_cell_angle_alpha 99.33
_cell_angle_beta 99.33
_cell_angle_gamma 23.71
_symmetry_space_group_name_H-M 'P 1'
_symmetry_Int_Tables_number 1
loop_
_symmetry_equiv_pos_as_xyz
'x,y,z'
loop_
_atom_site_label
_atom_site_fract_x
_atom_site_fract_y
_atom_site_fract_z
Tc1 0.184 0.184 0.448
Tc2 0.816 0.816 0.552
I1 0.057 0.057 0.226
I2 0.270 0.270 0.735
I3 0.389 0.389 0.435
I4 0.611 0.611 0.565
I5 0.730 0.730 0.265
I6 0.943 0.943 0.774
Cl1 0.349 0.349 0.089
Cl2 0.651 0.651 0.911
```

Calculated values
Magnetization in μB per formula unit: 0.000
DOS at the Fermi energy in states/eV/atom: 0.914

---

## 3
Computed, not measured: a geometry-optimized TcI3Cl structure at the PBE level of DFT.

Cell and atoms, written as CIF:
```
data_TcI3Cl
_cell_length_a 5.447
_cell_length_b 5.447
_cell_length_c 5.447
_cell_angle_alpha 90.00
_cell_angle_beta 90.00
_cell_angle_gamma 90.00
_symmetry_space_group_name_H-M 'P 1'
_symmetry_Int_Tables_number 1
loop_
_symmetry_equiv_pos_as_xyz
'x,y,z'
loop_
_atom_site_label
_atom_site_fract_x
_atom_site_fract_y
_atom_site_fract_z
Tc1 0.000 0.000 0.000
I1 0.000 0.000 0.500
I2 0.000 0.500 0.000
I3 0.500 0.000 0.000
Cl1 0.500 0.500 0.500
```

Calculated values
Magnetization in μB per formula unit: 2.424
DOS at the Fermi energy in states/eV/atom: 1.354

---

Which of them is the most stable? Correct choice: 1.